Compound: SrSiCSe2
Source: Alexandria via LeMat-Bulk
Functional: PBE-GGA
Structure: relaxed

Structure (POSCAR):
```
SrSiCSe2
1.0
-2.8322 0.6897 -4.2744
-3.1406 -0.2229 2.0450
0.1219 5.1184 0.7451
Se C Sr Si
2 1 1 1
direct
0.0000 0.0000 0.5000
0.5000 0.0000 0.0000
0.0000 0.5000 0.0000
0.5000 0.5000 0.5000
0.0000 0.0000 0.0000
```

**Total magnetic moment**: 0.00 μB per formula unit
**Uncorrected energy**: -4.75 eV per atom
**Theoretical density**: 4.72 Mg/m³
**Energy relative to the elements, uncorrected**: -0.46 eV per formula unit



Compound: YThTcPd
Source: Alexandria via LeMat-Bulk
Functional: PBE-GGA
Structure: relaxed

Structure (POSCAR):
```
YThTcPd
1.0
-1.2711 4.6933 -1.1611
-1.3702 1.1356 -4.6716
-4.7668 1.1231 -1.0036
Pd Y Th Tc
1 1 1 1
direct
0.0000 0.0000 0.0000
0.7500 0.7500 0.7500
0.2500 0.2500 0.2500
0.5000 0.5000 0.5000
```

**Energy of formation**: -0.41 eV/atom
**Total magnetic moment**: 0.00 μB per formula unit
**Uncorrected energy**: -7.77 eV per atom
**Theoretical density**: 9.88 Mg/m³



Compound: Cs2NiBr4
Source: Alexandria via LeMat-Bulk
Functional: PBE-GGA
Structure: relaxed

Structure (POSCAR):
```
Cs2NiBr4
1.0
-3.0402 -4.3369 -0.5133
4.2815 -2.8367 -1.3917
2.0246 -5.5576 7.3836
Br Cs Ni
4 2 1
direct
0.8593 0.8593 0.2815
0.5000 0.0000 0.0000
0.1407 0.1407 0.7185
0.0000 0.5000 0.0000
0.3584 0.3584 0.2833
0.6416 0.6416 0.7167
0.0000 0.0000 0.0000
```

**Total magnetic moment**: 0.00 μB per formula unit
**Uncorrected energy**: -3.16 eV per atom
**Theoretical density**: 4.35 Mg/m³
**Energy relative to the elements, uncorrected**: -7.92 eV per formula unit



Compound: KBa2IrN
Source: Alexandria via LeMat-Bulk
Functional: PBE-GGA
Structure: relaxed

Structure (POSCAR):
```
KBa2IrN
1.0
6.0911 0.0000 0.0000
0.0000 6.0911 0.0000
0.0000 0.0000 3.8907
N Ir K Ba
1 1 1 2
direct
0.0000 0.0000 0.0000
0.0000 0.0000 0.5000
0.5000 0.5000 0.5000
0.0000 0.5000 0.0000
0.5000 0.0000 0.0000
```

**Total magnetic moment**: 0.00 μB per formula unit
**Uncorrected energy**: -4.47 eV per atom
**Theoretical density**: 5.98 Mg/m³
**Energy relative to the elements, uncorrected**: -0.21 eV per formula unit



Compound: Cs3Ac3BiO8
Source: Alexandria via LeMat-Bulk
Functional: PBE-GGA
Structure: relaxed

Structure (POSCAR):
```
Cs3Ac3BiO8
1.0
-2.7730 -4.2641 -5.6992
6.6784 3.6135 -0.8334
-0.1566 -6.6301 5.0365
O Ac Bi Cs
8 3 1 3
direct
0.2087 0.9569 0.6654
0.2087 0.4174 0.6654
0.2518 0.0431 0.3346
0.7913 0.5826 0.3346
0.7482 0.9569 0.6654
0.7913 0.0431 0.3346
0.2774 0.5548 0.3324
0.7226 0.4452 0.6676
0.5000 0.5000 0.5000
0.0000 0.5000 0.5000
0.5000 0.0000 0.5000
0.0000 0.0000 0.5000
0.5000 0.5000 0.0000
0.0000 0.5000 0.0000
0.0000 0.0000 0.0000
```

**Total magnetic moment**: 0.00 μB per formula unit
**Uncorrected energy**: -6.12 eV per atom
**Theoretical density**: 6.59 Mg/m³
**Energy relative to the elements, uncorrected**: -33.35 eV per formula unit



Compound: Sc2Os3
Source: Alexandria via LeMat-Bulk
Functional: PBE-GGA
Structure: relaxed

Structure (POSCAR):
```
Sc2Os3
1.0
-2.7910 1.7589 4.1976
-5.0156 -1.0321 1.5104
-1.8716 -2.6127 4.2631
Sc Os
2 3
direct
0.3964 0.3964 0.3964
0.6036 0.6036 0.6036
0.0000 0.0000 0.0000
0.8059 0.8059 0.8059
0.1941 0.1941 0.1941
```

**Energy of formation**: -0.15 eV/atom
**Total magnetic moment**: 0.00 μB per formula unit
**Energy above the most stable polymorph in this dataset**: 0.0 kJ/mol of atoms
**Uncorrected energy**: -9.42 eV per atom
**Theoretical density**: 13.58 Mg/m³